No. 1
Here is a relaxed ScNbCuSn crystal from OQMD. Energies are from GGA-PBE.

abc: 6.6902 6.6902 6.6902
angles: 90.00 90.00 90.00
Element x y z (fractional)
Sc  0.0000  0.0000  0.0000
Sc  0.0000  0.5000  0.5000
Sc  0.5000  0.0000  0.5000
Sc  0.5000  0.5000  0.0000
Nb  0.2500  0.2500  0.2500
Nb  0.2500  0.7500  0.7500
Nb  0.7500  0.2500  0.7500
Nb  0.7500  0.7500  0.2500
Cu  0.2500  0.2500  0.7500
Cu  0.2500  0.7500  0.2500
Cu  0.7500  0.2500  0.2500
Cu  0.7500  0.7500  0.7500
Sn  0.0000  0.0000  0.5000
Sn  0.0000  0.5000  0.0000
Sn  0.5000  0.0000  0.0000
Sn  0.5000  0.5000  0.5000

## Properties
Raw total energy: -94.074 eV/cell
Magnetization: 1.36 μB per formula unit
SG: F-43m


No. 2
Here is a relaxed MoSeS2Cl5 crystal from OQMD. Energies are from GGA-PBE.

abc: 9.7107 9.7107 13.2406
angles: 113.55 113.55 58.05
Element x y z (fractional)
Mo  0.1052  0.7410  0.7634
Mo  0.2590  0.8948  0.7366
Mo  0.7410  0.1052  0.2634
Mo  0.8948  0.2590  0.2366
Se  0.2749  0.4142  0.7625
Se  0.4142  0.2749  0.2625
Se  0.5858  0.7251  0.7375
Se  0.7251  0.5858  0.2375
S  0.0271  0.8413  0.5972
S  0.1587  0.9729  0.9028
S  0.2459  0.6356  0.6135
S  0.3644  0.7541  0.8865
S  0.6356  0.2459  0.1135
S  0.7541  0.3644  0.3865
S  0.8413  0.0271  0.0972
S  0.9729  0.1587  0.4028
Cl  0.0334  0.4432  0.3548
Cl  0.0527  0.1755  0.7242
Cl  0.1168  0.6578  0.9218
Cl  0.1755  0.0527  0.2242
Cl  0.2567  0.3566  0.1009
Cl  0.3422  0.8832  0.5782
Cl  0.3566  0.2567  0.6009
Cl  0.3626  0.5366  0.3675
Cl  0.4432  0.0334  0.8548
Cl  0.4634  0.6374  0.1325
Cl  0.5366  0.3626  0.8675
Cl  0.5568  0.9666  0.1452
Cl  0.6374  0.4634  0.6325
Cl  0.6434  0.7433  0.3991
Cl  0.6578  0.1168  0.4218
Cl  0.7433  0.6434  0.8991
Cl  0.8245  0.9473  0.7758
Cl  0.8832  0.3422  0.0782
Cl  0.9473  0.8245  0.2758
Cl  0.9666  0.5568  0.6452

## Properties
Raw total energy: -147.698 eV/cell
Magnetization: 0.00 μB per formula unit
SG: C2/c


No. 3
Here is a relaxed Lu4SiC2S crystal from OQMD. Energies are from GGA-PBE.

abc: 3.5468 3.5468 13.4989
angles: 90.00 90.00 120.00
Element x y z (fractional)
Lu  0.0000  0.0000  0.1379
Lu  0.0000  0.0000  0.8621
Lu  0.3333  0.6667  0.3303
Lu  0.3333  0.6667  0.6697
Si  0.0000  0.0000  0.5000
C  0.6667  0.3333  0.2346
C  0.6667  0.3333  0.7654
S  0.3333  0.6667  0.0000

## Properties
Raw total energy: -53.066 eV/cell
Magnetization: 0.01 μB per formula unit
SG: P-6m2


No. 4
Here is a relaxed NpSn2 crystal from OQMD. Energies are from GGA-PBE.

abc: 9.4135 9.4135 9.4135
angles: 60.00 60.00 60.00
Element x y z (fractional)
Np  0.1250  0.1250  0.1250
Np  0.8750  0.8750  0.8750
Sn  0.0000  0.0000  0.0000
Sn  0.0000  0.0000  0.5000
Sn  0.0000  0.5000  0.0000
Sn  0.5000  0.0000  0.0000

## Properties
Raw total energy: -30.410 eV/cell
Magnetization: 4.77 μB per formula unit
SG: Fd-3m